# 1
! Er2InS, optimized geometry, DFT GGA-PBE; values from VASP
&SYSTEM
  ibrav = 0, nat = 4, ntyp = 3
/
ATOMIC_SPECIES
Er 167.26 Er.upf
In 114.82 In.upf
S 32.06 S.upf
CELL_PARAMETERS angstrom
1.8688 1.0789 8.0913
-1.8688 1.0789 8.0913
0.0000 -2.1579 8.0913
ATOMIC_POSITIONS angstrom
Er 0.0000 0.0000 0.0000
Er 0.0000 0.0000 4.8738
In 0.0000 0.0000 18.6214
S 0.0000 0.0000 14.5518
! Energy relative to the elements, uncorrected = -1.156 eV per atom
! DFT total energy = -5.154 eV/atom

# 2
! BeBrNF2, optimized geometry, DFT GGA-PBE; values from VASP
&SYSTEM
  ibrav = 0, nat = 5, ntyp = 4
/
ATOMIC_SPECIES
Be 9.01 Be.upf
Br 79.90 Br.upf
N 14.01 N.upf
F 19.00 F.upf
CELL_PARAMETERS angstrom
4.6644 0.0000 0.0000
0.0000 4.6644 0.0000
0.0000 0.0000 3.6833
ATOMIC_POSITIONS angstrom
Be 0.0000 0.0000 0.0000
Br 2.3322 2.3322 1.8416
N 2.3322 2.3322 0.0000
F 0.0000 2.3322 1.8416
F 2.3322 0.0000 1.8416
! Energy relative to the elements, uncorrected = 0.907 eV per atom
! DFT total energy = -2.587 eV/atom

# 3
! CaMgW2, optimized geometry, DFT GGA-PBE; values from VASP
&SYSTEM
  ibrav = 0, nat = 4, ntyp = 3
/
ATOMIC_SPECIES
Ca 40.08 Ca.upf
Mg 24.30 Mg.upf
W 183.84 W.upf
CELL_PARAMETERS angstrom
-1.7142 2.5881 4.8010
1.7142 -2.5881 4.8010
1.7142 2.5881 -4.8010
ATOMIC_POSITIONS angstrom
Ca 0.0000 0.0000 0.0000
Mg 1.7142 0.0000 2.6590
W 0.0000 0.0000 5.2172
W 0.0000 2.5881 2.1646
! DFT total energy = -6.664 eV/atom
! Formation energy = 0.711 eV per atom

# 4
! Dy5Ti5O17, optimized geometry, DFT GGA-PBE; values from VASP
&SYSTEM
  ibrav = 0, nat = 54, ntyp = 3
/
ATOMIC_SPECIES
Dy 162.50 Dy.upf
Ti 47.87 Ti.upf
O 16.00 O.upf
CELL_PARAMETERS angstrom
3.8281 0.0000 0.0000
0.0000 5.4907 0.0000
0.0000 0.0000 31.5309
ATOMIC_POSITIONS angstrom
Dy 0.0000 0.8581 0.0000
Dy 0.0000 1.1285 6.9046
Dy 0.0000 1.8915 13.9824
Dy 0.0000 3.6726 10.0701
Dy 0.0000 4.5653 3.9316
Dy 1.9141 0.9254 19.6971
Dy 1.9141 1.8181 25.8355
Dy 1.9141 3.5992 29.7478
Dy 1.9141 4.3622 22.6701
Dy 1.9141 4.6326 15.7655
Ti 0.0000 1.1865 28.2982
Ti 0.0000 1.4530 22.7427
Ti 0.0000 1.5436 17.2065
Ti 0.0000 3.9922 19.9261
Ti 0.0000 4.2422 25.5107
Ti 1.9141 1.2485 9.7452
Ti 1.9141 1.4985 4.1606
Ti 1.9141 3.9471 1.4410
Ti 1.9141 4.0377 6.9772
Ti 1.9141 4.3042 12.5327
O 0.0000 0.3132 21.0396
O 0.0000 0.3384 15.6239
O 0.0000 0.3713 26.4661
O 0.0000 1.3657 4.4927
O 0.0000 1.4424 9.4001
O 0.0000 2.2914 24.4401
O 0.0000 2.3048 19.0534
O 0.0000 2.3983 29.8790
O 0.0000 2.9902 26.9214
O 0.0000 3.0453 16.1127
O 0.0000 3.1239 21.8289
O 0.0000 3.9086 12.3717
O 0.0000 4.2680 6.8579
O 0.0000 4.3348 1.6110
O 0.0000 5.1138 23.6955
O 0.0000 5.1764 29.3944
O 0.0000 5.1878 18.5146
O 1.9141 0.3029 2.7491
O 1.9141 0.3143 13.6290
O 1.9141 0.3769 7.9300
O 1.9141 1.1559 17.3765
O 1.9141 1.2227 22.6233
O 1.9141 1.5821 28.1372
O 1.9141 2.3668 6.0634
O 1.9141 2.4454 0.3472
O 1.9141 2.5005 11.1560
O 1.9141 3.0924 14.1136
O 1.9141 3.1859 3.2879
O 1.9141 3.1993 8.6747
O 1.9141 4.0483 25.1655
O 1.9141 4.1250 20.2582
O 1.9141 5.1194 10.7006
O 1.9141 5.1523 31.3893
O 1.9141 5.1775 5.2741
! Energy relative to the elements, uncorrected = -3.271 eV per atom
! DFT total energy = -8.707 eV/atom

# 5
! Y2InW, optimized geometry, DFT GGA-PBE; values from VASP
&SYSTEM
  ibrav = 0, nat = 4, ntyp = 3
/
ATOMIC_SPECIES
Y 88.91 Y.upf
In 114.82 In.upf
W 183.84 W.upf
CELL_PARAMETERS angstrom
4.7705 0.0000 0.0000
0.0000 4.7705 0.0000
0.0000 0.0000 4.1632
ATOMIC_POSITIONS angstrom
Y 0.0000 2.3852 0.0000
Y 2.3852 0.0000 0.0000
In 0.0000 0.0000 2.0816
W 2.3852 2.3852 2.0816
! DFT total energy = -6.930 eV/atom
! Formation energy = 0.225 eV per atom

# 6
! CsInGaAu3, optimized geometry, DFT GGA-PBE; values from VASP
&SYSTEM
  ibrav = 0, nat = 12, ntyp = 4
/
ATOMIC_SPECIES
Cs 132.91 Cs.upf
In 114.82 In.upf
Ga 69.72 Ga.upf
Au 196.97 Au.upf
CELL_PARAMETERS angstrom
7.2632 0.0000 0.0000
0.0000 7.2117 0.0000
-3.5987 0.0000 6.8686
ATOMIC_POSITIONS angstrom
Cs 0.0163 1.8029 3.3157
Cs 3.6482 5.4088 3.5529
In 0.0324 5.4088 6.2688
In 3.6320 1.8029 0.5998
Ga 0.0015 5.4088 1.0086
Ga 3.6629 1.8029 5.8600
Au 1.5629 0.0013 0.0013
Au 1.5629 3.6046 0.0013
Au 0.0203 5.4088 3.5360
Au 3.6442 1.8029 3.3326
Au 2.1016 7.2104 6.8673
Au 2.1016 3.6071 6.8673
! DFT total energy = -3.010 eV/atom
! Formation energy = -0.269 eV per atom

# 7
! GdPaZn, optimized geometry, DFT GGA-PBE; values from VASP
&SYSTEM
  ibrav = 0, nat = 3, ntyp = 3
/
ATOMIC_SPECIES
Gd 157.25 Gd.upf
Pa 231.04 Pa.upf
Zn 65.41 Zn.upf
CELL_PARAMETERS angstrom
5.0207 0.0000 0.0000
-2.5104 4.3481 0.0000
0.0000 0.0000 3.2744
ATOMIC_POSITIONS angstrom
Gd 0.0000 0.0000 0.0000
Pa 0.0000 2.8987 1.8759
Zn 2.5104 1.4494 0.8362
! DFT total energy = -8.063 eV/atom
! Formation energy = 0.221 eV per atom

# 8
! RuS2NO, optimized geometry, DFT GGA-PBE; values from VASP
&SYSTEM
  ibrav = 0, nat = 5, ntyp = 4
/
ATOMIC_SPECIES
Ru 101.07 Ru.upf
S 32.06 S.upf
N 14.01 N.upf
O 16.00 O.upf
CELL_PARAMETERS angstrom
3.9932 0.0000 0.0000
0.0000 3.9932 0.0000
0.0000 0.0000 3.7498
ATOMIC_POSITIONS angstrom
Ru 0.0000 0.0000 0.0000
S 0.0000 1.9966 1.8749
S 1.9966 0.0000 1.8749
N 1.9966 1.9966 0.0000
O 1.9966 1.9966 1.8749
! Energy relative to the elements, uncorrected = 1.546 eV per atom
! DFT total energy = -4.616 eV/atom

# 9
! RbNbPb3, optimized geometry, DFT GGA-PBE; values from VASP
&SYSTEM
  ibrav = 0, nat = 5, ntyp = 3
/
ATOMIC_SPECIES
Rb 85.47 Rb.upf
Nb 92.91 Nb.upf
Pb 207.20 Pb.upf
CELL_PARAMETERS angstrom
5.6133 0.0000 0.0000
0.0000 5.6133 0.0000
0.0000 0.0000 5.6133
ATOMIC_POSITIONS angstrom
Rb 0.0000 0.0000 0.0000
Nb 2.8066 2.8066 2.8066
Pb 0.0000 2.8066 2.8066
Pb 2.8066 0.0000 2.8066
Pb 2.8066 2.8066 0.0000
! DFT total energy = -4.306 eV/atom
! Formation energy = 0.127 eV per atom

# 10
! Ca2Ge3Pt9, optimized geometry, DFT GGA-PBE; values from VASP
&SYSTEM
  ibrav = 0, nat = 28, ntyp = 3
/
ATOMIC_SPECIES
Ca 40.08 Ca.upf
Ge 72.64 Ge.upf
Pt 195.08 Pt.upf
CELL_PARAMETERS angstrom
6.7246 -3.9122 0.0000
6.7246 3.9122 0.0000
-4.4472 0.0000 9.0960
ATOMIC_POSITIONS angstrom
Ca 1.1601 0.6590 2.2824
Ca -1.0635 -0.6590 6.8304
Ca 10.0655 0.6590 2.2656
Ca 7.8419 -0.6590 6.8135
Ge 3.3623 1.9561 0.0000
Ge 3.2751 2.1310 4.5628
Ge 3.5032 2.1310 9.0812
Ge 1.1387 -1.9561 4.5480
Ge 5.4987 -2.1310 0.0148
Ge 5.7268 -2.1310 4.5332
Pt 5.5947 3.2451 0.6872
Pt 5.6309 3.2451 3.8608
Pt 1.1662 0.6358 5.2516
Pt 4.1658 1.4783 2.3279
Pt 1.1595 0.6725 8.4706
Pt 3.3898 -0.6358 0.7036
Pt 3.3892 1.0623 6.8220
Pt 7.0598 1.4783 2.2201
Pt 3.3831 -0.6725 3.9226
Pt 5.6188 0.6725 5.1734
Pt 1.9422 -1.4783 6.8759
Pt 5.6128 -1.0623 2.2740
Pt 5.6122 0.6358 8.3924
Pt 7.8424 -0.6725 0.6254
Pt 4.8362 -1.4783 6.7681
Pt 7.8358 -0.6358 3.8444
Pt 3.3710 -3.2451 5.2352
Pt 3.4073 -3.2451 8.4088
! DFT total energy = -5.810 eV/atom
! Formation energy = -0.652 eV per atom

# 11
! CaPm14Er, optimized geometry, DFT GGA-PBE; values from VASP
&SYSTEM
  ibrav = 0, nat = 16, ntyp = 3
/
ATOMIC_SPECIES
Ca 40.08 Ca.upf
Pm 145.00 Pm.upf
Er 167.26 Er.upf
CELL_PARAMETERS angstrom
11.3263 0.0000 0.0000
0.0000 4.3445 5.5959
0.0000 -4.3445 5.5959
ATOMIC_POSITIONS angstrom
Ca 0.0000 0.0000 0.0000
Pm 0.0000 -1.8018 8.0902
Pm 0.0000 1.8018 8.0902
Pm 2.6284 0.0000 2.5390
Pm 2.9047 -2.4839 4.8787
Pm 2.9047 2.4839 4.8787
Pm 2.9646 0.0000 7.3397
Pm 5.6632 -2.5805 7.3410
Pm 5.6632 0.0000 4.9220
Pm 5.6632 0.0000 9.6589
Pm 5.6632 2.5805 7.3410
Pm 8.3617 0.0000 7.3397
Pm 8.4216 -2.4839 4.8787
Pm 8.4216 2.4839 4.8787
Pm 8.6979 0.0000 2.5390
Er 0.0000 0.0000 4.9889
! DFT total energy = -4.499 eV/atom
! Formation energy = 0.068 eV per atom

# 12
! ZrTcCl2, optimized geometry, DFT GGA-PBE; values from VASP
&SYSTEM
  ibrav = 0, nat = 4, ntyp = 3
/
ATOMIC_SPECIES
Zr 91.22 Zr.upf
Tc 98.00 Tc.upf
Cl 35.45 Cl.upf
CELL_PARAMETERS angstrom
-1.5075 2.8328 4.4272
1.5075 -2.8328 4.4272
1.5075 2.8328 -4.4272
ATOMIC_POSITIONS angstrom
Zr 0.0000 0.0000 0.0000
Tc 0.0000 0.0000 4.4272
Cl 1.5075 0.0000 2.1799
Cl 0.0000 2.8328 2.2472
! Energy relative to the elements, uncorrected = -0.021 eV per atom
! DFT total energy = -5.673 eV/atom